Entry 1:
Entry from Alexandria via LeMat-Bulk: a relaxed structure of Nb3CrMo2 (GGA-PBE).

Geometry as POSCAR:
```
Nb3CrMo2
1.0
-0.123 1.682 -2.718
-3.641 -2.357 -1.294
-2.193 5.732 3.646
Nb Cr Mo
3 1 2
direct
0.500 0.500 0.000
0.500 0.837 0.673
0.500 0.163 0.327
0.000 0.000 0.000
0.000 0.335 0.669
0.000 0.665 0.331
```

Output
- energy relative to the elements (meV per atom) = -65
- raw total energy (eV per atom) = -10.314
- total moment (μB per cell) = 0.00



Entry 2:
Entry from Alexandria via LeMat-Bulk: a relaxed structure of Cu4Se (GGA-PBE).

Geometry as POSCAR:
```
Cu4Se
1.0
-1.702 1.702 6.310
1.702 -1.702 6.310
1.702 1.702 -6.310
Cu Se
4 1
direct
0.750 0.250 0.500
0.250 0.750 0.500
0.599 0.599 0.000
0.401 0.401 0.000
0.000 0.000 0.000
```

Output
- raw total energy (eV per atom) = -3.729
- energy relative to the elements, uncorrected (eV/atom) = 0.2446
- total moment (μB per cell) = 0.00



Entry 3:
Entry from Alexandria via LeMat-Bulk: a relaxed structure of Sr2ScRh (GGA-PBE).

Geometry as POSCAR:
```
Sr2ScRh
1.0
-3.216 2.564 -5.241
0.391 -3.442 -5.691
-1.964 0.107 6.365
Rh Sc Sr
1 1 2
direct
0.528 0.528 0.000
0.672 0.172 0.500
0.993 0.993 0.000
0.306 0.806 0.500
```

Output
- energy relative to the elements (meV per atom) = -184
- raw total energy (eV per atom) = -4.446
- total moment (μB per cell) = 0.00
- E above lowest polymorph (meV/atom) = 81.1



Entry 4:
Entry from Alexandria via LeMat-Bulk: a relaxed structure of SrSiTe2 (GGA-PBE).

Geometry as POSCAR:
```
SrSiTe2
1.0
8.166 -0.020 -0.012
7.034 4.149 -0.012
7.034 1.910 3.683
Si Sr Te
1 1 2
direct
0.512 0.512 0.512
0.753 0.753 0.753
0.000 0.000 0.000
0.235 0.235 0.235
```

Output
- raw total energy (eV per atom) = -3.708
- energy relative to the elements, uncorrected (eV/atom) = -0.3607
- total moment (μB per cell) = 0.00